AgPO3 | PBE | optimized geometry

Results
Space-group type: P2_1/c (14)

Cell: 5.946 4.384 13.303 Å, 90.00 112.41 90.00°
Fractional positions:
Ag  0.179  0.141  0.457
Ag  0.179  0.359  0.957
Ag  0.821  0.641  0.043
Ag  0.821  0.859  0.543
P  0.378  0.707  0.674
P  0.378  0.793  0.174
P  0.622  0.207  0.826
P  0.622  0.293  0.326
O  0.128  0.573  0.646
O  0.128  0.927  0.146
O  0.417  0.549  0.270
O  0.417  0.951  0.770
O  0.447  0.654  0.085
O  0.447  0.846  0.585
O  0.553  0.154  0.415
O  0.553  0.346  0.915
O  0.583  0.049  0.230
O  0.583  0.451  0.730
O  0.872  0.073  0.854
O  0.872  0.427  0.354

Ag2PO3 | PBE | optimized geometry

Results
Space-group type: C2/c (15)

Cell: 7.167 7.167 4.819 Å, 92.96 92.96 42.18°
Fractional positions:
Ag  0.034  0.345  0.238
Ag  0.345  0.034  0.738
Ag  0.655  0.966  0.262
Ag  0.966  0.655  0.762
P  0.393  0.607  0.250
P  0.607  0.393  0.750
O  0.104  0.896  0.250
O  0.372  0.470  0.546
O  0.470  0.372  0.046
O  0.530  0.628  0.954
O  0.628  0.530  0.454
O  0.896  0.104  0.750

Ag3PO4 | PBE | optimized geometry

Results
Space-group type: Pm-3n (223)

Cell: 6.030 6.030 6.030 Å, 90.00 90.00 90.00°
Fractional positions:
Ag  0.000  0.250  0.500
Ag  0.000  0.750  0.500
Ag  0.250  0.500  0.000
Ag  0.500  0.000  0.250
Ag  0.500  0.000  0.750
Ag  0.750  0.500  0.000
P  0.000  0.000  0.000
P  0.500  0.500  0.500
O  0.250  0.250  0.250
O  0.250  0.250  0.750
O  0.250  0.750  0.250
O  0.250  0.750  0.750
O  0.750  0.250  0.250
O  0.750  0.250  0.750
O  0.750  0.750  0.250
O  0.750  0.750  0.750

Ag4PO5 | PBE | optimized geometry

Results
Space-group type: I4 (79)

Cell: 5.698 5.698 5.698 Å, 101.48 101.48 127.02°
Fractional positions:
Ag  0.097  0.315  0.412
Ag  0.315  0.903  0.218
Ag  0.685  0.097  0.782
Ag  0.903  0.685  0.588
P  0.549  0.549  0.000
O  0.258  0.543  0.855
O  0.403  0.258  0.715
O  0.543  0.688  0.285
O  0.688  0.403  0.145
O  0.866  0.866  0.000

Ag3PO4 | PBE | optimized geometry

Results
Space-group type: R3c (161)

Cell: 6.132 6.132 6.132 Å, 89.31 89.31 89.31°
Fractional positions:
Ag  0.099  0.795  0.606
Ag  0.106  0.295  0.599
Ag  0.295  0.599  0.106
Ag  0.599  0.106  0.295
Ag  0.606  0.099  0.795
Ag  0.795  0.606  0.099
P  0.105  0.105  0.105
P  0.605  0.605  0.605
O  0.253  0.253  0.253
O  0.257  0.943  0.979
O  0.443  0.757  0.479
O  0.479  0.443  0.757
O  0.753  0.753  0.753
O  0.757  0.479  0.443
O  0.943  0.979  0.257
O  0.979  0.257  0.943

AgP2O2 | PBE | optimized geometry

Results
Space-group type: P4/mmm (123)

Cell: 3.983 3.983 4.184 Å, 90.00 90.00 90.00°
Fractional positions:
Ag  0.000  0.000  0.000
P  0.000  0.500  0.500
P  0.500  0.000  0.500
O  0.500  0.500  0.000
O  0.500  0.500  0.500

AgPO4 | PBE | optimized geometry

Results
Space-group type: Cmcm (63)

Cell: 5.736 5.736 6.407 Å, 90.00 90.00 112.16°
Fractional positions:
Ag  0.165  0.835  0.750
Ag  0.835  0.165  0.250
P  0.255  0.745  0.250
P  0.745  0.255  0.750
O  0.149  0.851  0.067
O  0.149  0.851  0.433
O  0.177  0.455  0.250
O  0.455  0.177  0.750
O  0.545  0.823  0.250
O  0.823  0.545  0.750
O  0.851  0.149  0.567
O  0.851  0.149  0.933

Ag5PO6 | PBE | optimized geometry

Results
Space-group type: C2/m (12)

Cell: 5.832 5.832 5.763 Å, 102.74 102.74 118.77°
Fractional positions:
Ag  0.000  0.000  0.000
Ag  0.177  0.823  0.500
Ag  0.351  0.649  0.000
Ag  0.649  0.351  0.000
Ag  0.823  0.177  0.500
P  0.500  0.500  0.500
O  0.206  0.452  0.279
O  0.280  0.280  0.620
O  0.452  0.206  0.279
O  0.548  0.794  0.721
O  0.720  0.720  0.380
O  0.794  0.548  0.721

AgPO2 | PBE | optimized geometry

Results
Space-group type: I-42d (122)

Cell: 4.882 4.882 9.899 Å, 90.00 90.00 90.00°
Fractional positions:
Ag  0.000  0.000  0.000
Ag  0.000  0.500  0.250
Ag  0.500  0.000  0.750
Ag  0.500  0.500  0.500
P  0.000  0.000  0.500
P  0.000  0.500  0.750
P  0.500  0.000  0.250
P  0.500  0.500  0.000
O  0.145  0.250  0.625
O  0.250  0.645  0.875
O  0.250  0.855  0.375
O  0.355  0.250  0.125
O  0.645  0.750  0.125
O  0.750  0.145  0.375
O  0.750  0.355  0.875
O  0.855  0.750  0.625

Ag3PO | PBE | optimized geometry

Results
Space-group type: Pm-3m (221)

Cell: 4.435 4.435 4.435 Å, 90.00 90.00 90.00°
Fractional positions:
Ag  0.000  0.000  0.500
Ag  0.000  0.500  0.000
Ag  0.500  0.000  0.000
P  0.500  0.500  0.500
O  0.000  0.000  0.000

Ag2P2O7 | PBE | optimized geometry

Results
Space-group type: C2/m (12)

Cell: 5.848 5.848 4.701 Å, 102.13 102.13 101.74°
Fractional positions:
Ag  0.196  0.804  0.000
Ag  0.804  0.196  0.000
P  0.306  0.306  0.579
P  0.694  0.694  0.421
O  0.137  0.137  0.268
O  0.154  0.437  0.747
O  0.437  0.154  0.747
O  0.500  0.500  0.500
O  0.563  0.846  0.253
O  0.846  0.563  0.253
O  0.863  0.863  0.732

AgPO3 | PBE | optimized geometry

Results
Space-group type: Pm-3m (221)

Cell: 3.965 3.965 3.965 Å, 90.00 90.00 90.00°
Fractional positions:
Ag  0.000  0.000  0.000
P  0.500  0.500  0.500
O  0.000  0.000  0.500
O  0.000  0.500  0.000
O  0.500  0.000  0.000

AgP2O2 | PBE | optimized geometry

Results
Space-group type: P4/mmm (123)

Cell: 4.767 4.767 3.919 Å, 90.00 90.00 90.00°
Fractional positions:
Ag  0.000  0.000  0.000
P  0.000  0.500  0.000
P  0.500  0.000  0.000
O  0.000  0.000  0.500
O  0.500  0.500  0.500

AgPO3 | PBE | optimized geometry

Results
Space-group type: Pnma (62)

Cell: 4.560 12.415 6.023 Å, 90.00 90.00 90.00°
Fractional positions:
Ag  0.000  0.000  0.000
Ag  0.000  0.500  0.000
Ag  0.500  0.000  0.500
Ag  0.500  0.500  0.500
P  0.168  0.250  0.091
P  0.332  0.750  0.591
P  0.668  0.250  0.409
P  0.832  0.750  0.909
O  0.170  0.750  0.831
O  0.235  0.147  0.971
O  0.235  0.353  0.971
O  0.265  0.647  0.471
O  0.265  0.853  0.471
O  0.330  0.250  0.331
O  0.670  0.750  0.669
O  0.735  0.147  0.529
O  0.735  0.353  0.529
O  0.765  0.647  0.029
O  0.765  0.853  0.029
O  0.830  0.250  0.169

Ag3PO4 | PBE | optimized geometry

Results
Space-group type: Pmn2_1 (31)

Cell: 7.026 5.908 5.632 Å, 90.00 90.00 90.00°
Fractional positions:
Ag  0.000  0.200  0.000
Ag  0.229  0.627  0.028
Ag  0.271  0.373  0.528
Ag  0.500  0.800  0.500
Ag  0.729  0.373  0.528
Ag  0.771  0.627  0.028
P  0.000  0.861  0.506
P  0.500  0.139  0.006
O  0.000  0.116  0.578
O  0.000  0.842  0.230
O  0.180  0.743  0.613
O  0.320  0.257  0.113
O  0.500  0.158  0.730
O  0.500  0.884  0.078
O  0.680  0.257  0.113
O  0.820  0.743  0.613

AgPO2 | PBE | optimized geometry

Results
Space-group type: R-3m (166)

Cell: 2.847 2.847 23.671 Å, 90.00 90.00 120.00°
Fractional positions:
Ag  0.000  0.000  0.000
Ag  0.333  0.667  0.667
Ag  0.667  0.333  0.333
P  0.000  0.000  0.500
P  0.333  0.667  0.167
P  0.667  0.333  0.833
O  0.000  0.000  0.127
O  0.000  0.000  0.873
O  0.333  0.667  0.540
O  0.333  0.667  0.793
O  0.667  0.333  0.207
O  0.667  0.333  0.460

AgPO2 | PBE | optimized geometry

Results
Space-group type: R-3m (166)

Cell: 2.968 2.968 19.737 Å, 90.00 90.00 120.00°
Fractional positions:
Ag  0.000  0.000  0.000
Ag  0.333  0.667  0.667
Ag  0.667  0.333  0.333
P  0.000  0.000  0.500
P  0.333  0.667  0.167
P  0.667  0.333  0.833
O  0.000  0.000  0.421
O  0.000  0.000  0.579
O  0.333  0.667  0.088
O  0.333  0.667  0.246
O  0.667  0.333  0.754
O  0.667  0.333  0.912

AgP2O | PBE | optimized geometry

Results
Space-group type: I-42d (122)

Cell: 4.382 4.382 13.303 Å, 90.00 90.00 90.00°
Fractional positions:
Ag  0.000  0.000  0.000
Ag  0.000  0.500  0.250
Ag  0.500  0.000  0.750
Ag  0.500  0.500  0.500
P  0.116  0.250  0.625
P  0.250  0.616  0.875
P  0.250  0.884  0.375
P  0.384  0.250  0.125
P  0.616  0.750  0.125
P  0.750  0.116  0.375
P  0.750  0.384  0.875
P  0.884  0.750  0.625
O  0.000  0.000  0.500
O  0.000  0.500  0.750
O  0.500  0.000  0.250
O  0.500  0.500  0.000

Ag3P3O10 | PBE | optimized geometry

Results
Space-group type: C2/m (12)

Cell: 8.151 8.151 7.886 Å, 108.34 108.34 81.88°
Fractional positions:
Ag  0.029  0.724  0.511
Ag  0.130  0.870  0.000
Ag  0.276  0.971  0.489
Ag  0.724  0.029  0.511
Ag  0.870  0.130  0.000
Ag  0.971  0.276  0.489
P  0.253  0.253  0.917
P  0.283  0.561  0.227
P  0.439  0.717  0.773
P  0.561  0.283  0.227
P  0.717  0.439  0.773
P  0.747  0.747  0.083
O  0.079  0.079  0.307
O  0.157  0.157  0.985
O  0.164  0.530  0.325
O  0.223  0.459  0.007
O  0.225  0.225  0.711
O  0.254  0.694  0.762
O  0.306  0.746  0.238
O  0.459  0.223  0.007
O  0.470  0.836  0.675
O  0.473  0.473  0.295
O  0.527  0.527  0.705
O  0.530  0.164  0.325
O  0.541  0.777  0.993
O  0.694  0.254  0.762
O  0.746  0.306  0.238
O  0.775  0.775  0.289
O  0.777  0.541  0.993
O  0.836  0.470  0.675
O  0.843  0.843  0.015
O  0.921  0.921  0.693

Ag4PO4 | PBE | optimized geometry

Results
Space-group type: I4/m (87)

Cell: 5.715 5.715 5.715 Å, 100.15 100.15 130.35°
Fractional positions:
Ag  0.113  0.746  0.859
Ag  0.254  0.113  0.366
Ag  0.746  0.887  0.634
Ag  0.887  0.254  0.141
P  0.500  0.500  0.000
O  0.277  0.467  0.744
O  0.467  0.723  0.191
O  0.533  0.277  0.809
O  0.723  0.533  0.256

no.,uncorrected formation energy (meV/atom)
1,-1542.0
2,-1006.8
3,167.8
4,-665.1
5,-1060.2
6,663.8
7,-1205.1
8,-543.6
9,-362.2
10,386.7
11,-1397.1
12,817.0
13,1458.0
14,-1505.1
15,-1049.0
16,-446.3
17,-423.1
18,158.3
19,-1354.6
20,-476.2